{"formula": "CaIr2Rh", "functional": "PBE", "state": "optimized geometry", "volume_a3_per_atom": 16.4, "dos_ef_per_ev_atom": 0.785, "sg": "I4/mmm, No. 139", "lattice_angstrom": [[4.999, 0.010, 0.000], [1.809, 4.660, 0.000], [-3.404, -2.335, 2.819]], "species": ["Ca", "Ir", "Ir", "Rh"], "fractional_positions": [[0.750, 0.250, 0.500], [0.000, 0.000, 0.000], [0.500, 0.500, 0.000], [0.250, 0.750, 0.500]]}

***

{"formula": "CaIr2Rh2", "functional": "PBE", "state": "optimized geometry", "volume_a3_per_atom": 16.6, "dos_ef_per_ev_atom": 1.133, "sg": "P4/mbm, No. 127", "lattice_angstrom": [[-2.301, 6.428, -3.643], [-4.177, -4.279, -4.912], [-2.180, 0.181, 1.696]], "species": ["Ca", "Ca", "Ir", "Ir", "Ir", "Ir", "Rh", "Rh", "Rh", "Rh"], "fractional_positions": [[0.000, 0.000, 0.000], [0.500, 0.500, 0.000], [0.179, 0.679, 0.500], [0.679, 0.821, 0.500], [0.821, 0.321, 0.500], [0.321, 0.179, 0.500], [0.381, 0.881, 0.000], [0.881, 0.619, 0.000], [0.619, 0.119, 0.000], [0.119, 0.381, 0.000]]}

***

Number 1: energy above the lowest structure with this stoichiometry 110 meV per atom. Number 2: energy above the lowest structure with this stoichiometry 5 meV per atom.